No. 1
This record from the Alexandria database describes crystalline SrReAs at its relaxed geometry. The functional is PBE.

Summary:
Crystal system: cubic
Uncorrected energy (eV/cell): -13.82
N(E_F) (states/eV/f.u.): 3.863
Polymorph energy (0 for the lowest one) (meV per atom): 1636
Space group: No. 216
Energy of formation from the pure elements (kcal/mol of atoms): 38.16
Size of the total moment (μB/atom): 1.34

a = 5.017 Å, b = 5.017 Å, c = 5.017 Å
α = 60.00°, β = 60.00°, γ = 60.00°
Fractional positions:
Sr: 0.000 0.000 0.000
Re: 0.750 0.750 0.750
As: 0.250 0.250 0.250

No. 2
This record from the Alexandria database describes crystalline BeCd2Cl at its relaxed geometry. The functional is PBE.

Summary:
Crystal system: tetragonal
Formation energy (no corrections) (eV/atom): -0.01
Uncorrected energy (eV/cell): -7.44
N(E_F) (states/eV/f.u.): 1.534
Polymorph energy (0 for the lowest one) (meV per atom): 176
Space group: No. 99
Size of the total moment (μB/atom): 0.00

a = 3.312 Å, b = 3.312 Å, c = 7.912 Å
α = 90.00°, β = 90.00°, γ = 90.00°
Fractional positions:
Be: 0.000 0.000 0.000
Cd: 0.000 0.000 0.301
Cd: 0.500 0.500 0.866
Cl: 0.500 0.500 0.519

No. 3
This record from the Alexandria database describes crystalline Ge2OsPt at its relaxed geometry. The functional is PBE.

Summary:
Crystal system: trigonal
Uncorrected energy (eV/cell): -25.31
N(E_F) (states/eV/f.u.): 2.797
Polymorph energy (0 for the lowest one) (meV per atom): 96
Space group: No. 166
Energy of formation from the pure elements (kcal/mol of atoms): 6.86
Size of the total moment (μB/atom): 0.00

a = 9.051 Å, b = 9.051 Å, c = 9.051 Å
α = 18.66°, β = 18.66°, γ = 18.66°
Fractional positions:
Ge: 0.091 0.091 0.091
Ge: 0.909 0.909 0.909
Os: 0.000 0.000 0.000
Pt: 0.500 0.500 0.500

No. 4
This record from the Alexandria database describes crystalline Sr3PrCd4 at its relaxed geometry. The functional is PBE.

Summary:
Crystal system: tetragonal
Uncorrected energy (eV/cell): -16.09
N(E_F) (states/eV/f.u.): 6.705
Space group: No. 123
Energy of formation from the pure elements (kcal/mol of atoms): -7.51
Size of the total moment (μB/atom): 0.02

a = 3.994 Å, b = 3.994 Å, c = 16.190 Å
α = 90.00°, β = 90.00°, γ = 90.00°
Fractional positions:
Sr: 0.000 0.000 0.000
Sr: 0.000 0.000 0.256
Sr: 0.000 0.000 0.744
Pr: 0.000 0.000 0.500
Cd: 0.500 0.500 0.128
Cd: 0.500 0.500 0.388
Cd: 0.500 0.500 0.612
Cd: 0.500 0.500 0.872

No. 5
This record from the Alexandria database describes crystalline K4Th3AgSe8 at its relaxed geometry. The functional is PBE.

Summary:
Crystal system: trigonal
Formation energy (no corrections) (eV/atom): -1.42
Uncorrected energy (eV/cell): -80.13
N(E_F) (states/eV/f.u.): 6.776
Space group: No. 166
Size of the total moment (μB/atom): 0.00

a = 9.160 Å, b = 9.160 Å, c = 9.160 Å
α = 56.12°, β = 56.12°, γ = 56.12°
Fractional positions:
K: 0.000 0.000 0.000
K: 0.000 0.500 0.500
K: 0.500 0.000 0.500
K: 0.500 0.500 0.000
Th: 0.000 0.000 0.500
Th: 0.000 0.500 0.000
Th: 0.500 0.000 0.000
Ag: 0.500 0.500 0.500
Se: 0.227 0.741 0.741
Se: 0.238 0.238 0.238
Se: 0.259 0.259 0.773
Se: 0.259 0.773 0.259
Se: 0.741 0.227 0.741
Se: 0.741 0.741 0.227
Se: 0.762 0.762 0.762
Se: 0.773 0.259 0.259

No. 6
This record from the Alexandria database describes crystalline HgOs2Cl at its relaxed geometry. The functional is PBE.

Summary:
Crystal system: trigonal
Formation energy (no corrections) (eV/atom): 1.09
Uncorrected energy (eV/cell): -20.23
N(E_F) (states/eV/f.u.): 4.037
Polymorph energy (0 for the lowest one) (meV per atom): 741
Space group: No. 166
Size of the total moment (μB/atom): 0.00

a = 9.001 Å, b = 9.001 Å, c = 9.001 Å
α = 18.49°, β = 18.49°, γ = 18.49°
Fractional positions:
Hg: 0.000 0.000 0.000
Os: 0.243 0.243 0.243
Os: 0.757 0.757 0.757
Cl: 0.500 0.500 0.500

No. 7
This record from the Alexandria database describes crystalline CsTmSnSe3 at its relaxed geometry. The functional is PBE.

Summary:
Crystal system: orthorhombic
Formation energy (no corrections) (eV/atom): -1.20
Uncorrected energy (eV/cell): -53.96
Space group: No. 63
Size of the total moment (μB/atom): 0.00

a = 9.234 Å, b = 9.234 Å, c = 11.889 Å
α = 90.00°, β = 90.00°, γ = 154.36°
Fractional positions:
Cs: 0.198 0.802 0.750
Cs: 0.802 0.198 0.250
Tm: 0.500 0.500 0.000
Tm: 0.500 0.500 0.500
Sn: 0.106 0.894 0.250
Sn: 0.894 0.106 0.750
Se: 0.107 0.893 0.004
Se: 0.107 0.893 0.496
Se: 0.497 0.503 0.750
Se: 0.503 0.497 0.250
Se: 0.893 0.107 0.504
Se: 0.893 0.107 0.996

No. 8
This record from the Alexandria database describes crystalline Zn3RhAu at its relaxed geometry. The functional is PBE.

Summary:
Crystal system: orthorhombic
Uncorrected energy (eV/cell): -30.88
N(E_F) (states/eV/f.u.): 1.628
Polymorph energy (0 for the lowest one) (meV per atom): 22
Space group: No. 59
Energy of formation from the pure elements (kcal/mol of atoms): -4.55
Size of the total moment (μB/atom): 0.00

a = 2.890 Å, b = 7.778 Å, c = 7.389 Å
α = 90.00°, β = 90.00°, γ = 90.00°
Fractional positions:
Zn: 0.250 0.036 0.177
Zn: 0.250 0.250 0.698
Zn: 0.250 0.464 0.177
Zn: 0.750 0.536 0.823
Zn: 0.750 0.750 0.302
Zn: 0.750 0.964 0.823
Rh: 0.250 0.750 0.010
Rh: 0.750 0.250 0.990
Au: 0.250 0.750 0.602
Au: 0.750 0.250 0.398

No. 9
This record from the Alexandria database describes crystalline ScH3Pd at its relaxed geometry. The functional is PBE.

Summary:
Crystal system: cubic
Uncorrected energy (eV/cell): -21.74
N(E_F) (states/eV/f.u.): 0.230
Space group: No. 221
Size of the total moment (μB/atom): 0.00

a = 3.693 Å, b = 3.693 Å, c = 3.693 Å
α = 90.00°, β = 90.00°, γ = 90.00°
Fractional positions:
Sc: 0.000 0.000 0.000
H: 0.000 0.000 0.500
H: 0.000 0.500 0.000
H: 0.500 0.000 0.000
Pd: 0.500 0.500 0.500

No. 10
This record from the Alexandria database describes crystalline PuPaSn2 at its relaxed geometry. The functional is PBE.

Summary:
Crystal system: tetragonal
Uncorrected energy (eV/cell): -32.98
N(E_F) (states/eV/f.u.): 11.023
Polymorph energy (0 for the lowest one) (meV per atom): 0
Space group: No. 123
Energy of formation from the pure elements (kcal/mol of atoms): -6.64
Size of the total moment (μB/atom): 1.52

a = 3.348 Å, b = 3.348 Å, c = 9.152 Å
α = 90.00°, β = 90.00°, γ = 90.00°
Fractional positions:
Pu: 0.000 0.000 0.000
Pa: 0.000 0.000 0.500
Sn: 0.500 0.500 0.251
Sn: 0.500 0.500 0.749

No. 11
This record from the Alexandria database describes crystalline CuSi2Rh at its relaxed geometry. The functional is PBE.

Summary:
Crystal system: tetragonal
Formation energy (no corrections) (eV/atom): -0.18
Uncorrected energy (eV/cell): -23.03
N(E_F) (states/eV/f.u.): 2.129
Space group: No. 119
Size of the total moment (μB/atom): 0.00

a = 4.662 Å, b = 4.662 Å, c = 4.662 Å
α = 133.76°, β = 133.76°, γ = 67.46°
Fractional positions:
Cu: 0.000 0.000 0.000
Si: 0.500 0.500 0.000
Si: 0.750 0.250 0.500
Rh: 0.250 0.750 0.500